# K3V2P3O12 SCAN single point on PBEsol structure
# - Uncorrected energy: -10.85 eV/atom
# - Total moment: 16.00 μB per cell
# - Formation energy from raw total energies: -2.5505 eV per atom
data_K3V2P3O12
_space_group_name_H-M_alt 'C 1 2/c 1'
_space_group_IT_number 15
_space_group_name_Hall '-C 2yc'
_cell_length_a 15.263
_cell_length_b 9.021
_cell_length_c 9.003
_cell_angle_alpha 90.00
_cell_angle_beta 124.22
_cell_angle_gamma 90.00
loop_
_atom_site_label
_atom_site_type_symbol
_atom_site_fract_x
_atom_site_fract_y
_atom_site_fract_z
_atom_site_occupancy
K1 K 0.176 0.080 0.246 1
K2 K 0.250 0.250 0.000 1
V1 V 0.097 0.252 0.550 1
P1 P 0.000 0.045 0.750 1
P2 P 0.142 0.403 0.253 1
O1 O 0.049 0.319 0.092 1
O2 O 0.069 0.145 0.717 1
O3 O 0.072 0.056 0.415 1
O4 O 0.141 0.429 0.722 1
O5 O 0.143 0.371 0.423 1
O6 O 0.246 0.338 0.283 1